# 1
The following is a PBE-GGA calculation of a geometry-optimized ZrCo2AgTe structure, from the Alexandria database.

Cell lengths 4.6393, 5.1725, 4.6393 Å; angles 90.00, 90.00, 90.00 degrees
Each line ends with the local moment (μB).
Positions (direct):
Te1 0.0000 0.5000 0.0000  0.04
Co1 0.0000 0.0000 0.5000  2.00
Co2 0.5000 0.0000 0.0000  1.51
Zr1 0.5000 0.5000 0.5000  -0.55
Ag1 0.0000 0.0000 0.0000  0.02

Summary:
Its space group is P4/mmm. Its crystal system is tetragonal. Its energy relative to the elements, uncorrected is 1.169 eV per atom.

# 2
The following is a PBE-GGA calculation of a geometry-optimized NaIn2CuBi structure, from the Alexandria database.

Cell lengths 5.0421, 5.0421, 5.7066 Å; angles 90.00, 90.00, 90.00 degrees
Positions (direct):
Na1 0.5000 0.5000 0.5000
Bi1 0.0000 0.0000 0.5000
Cu1 0.0000 0.0000 0.0000
In1 0.0000 0.5000 0.0000
In2 0.5000 0.0000 0.0000

Summary:
The value obtained for the energy relative to the elements is 6.8 kJ per mole of atoms. Its space group is P4/mmm. Its crystal system is tetragonal.

# 3
The following is a PBE-GGA calculation of a geometry-optimized ThSbTe structure, from the Alexandria database.

Cell lengths 4.4529, 4.4529, 9.6290 Å; angles 103.37, 103.37, 90.00 degrees
Positions (direct):
Th1 0.3694 0.3694 0.7389
Th2 0.6306 0.6306 0.2611
Sb1 0.0000 0.5000 0.0000
Sb2 0.5000 0.0000 0.0000
Te1 0.1874 0.1874 0.3748
Te2 0.8126 0.8126 0.6252

Summary:
Its space group is I4/mmm. Its crystal system is tetragonal. Its energy relative to the elements, uncorrected is -1.023 eV per atom.

# 4
The following is a PBE-GGA calculation of a geometry-optimized LaPm6Pr3Nd2 structure, from the Alexandria database.

Cell lengths 6.3887, 6.3887, 12.1892 Å; angles 95.04, 95.04, 120.02 degrees
Positions (direct):
La1 0.0000 0.0000 0.0000
Pm1 0.9168 0.5830 0.7502
Pm2 0.7494 0.7494 0.2499
Pm3 0.0832 0.4170 0.2498
Pm4 0.5830 0.9168 0.7502
Pm5 0.2506 0.2506 0.7501
Pm6 0.4170 0.0832 0.2498
Pr1 0.1667 0.8333 0.5000
Pr2 0.8333 0.1667 0.5000
Pr3 0.5000 0.5000 0.5000
Nd1 0.3334 0.6666 0.0000
Nd2 0.6666 0.3334 0.0000

Summary:
The value obtained for the energy relative to the elements is 1.3 kJ per mole of atoms. Its space group is C2/m. Its crystal system is monoclinic.

# 5
The following is a PBE-GGA calculation of a geometry-optimized ReWAu2 structure, from the Alexandria database.

Cell lengths 3.9013, 3.8990, 4.3170 Å; angles 90.00, 90.00, 90.00 degrees
Positions (direct):
Au1 0.0000 0.0000 0.0000
Au2 0.5000 0.5000 0.0000
Re1 0.5000 0.0000 0.5000
W1 0.0000 0.5000 0.5000

Summary:
The value obtained for the energy relative to the elements is 50.5 kJ per mole of atoms. Its space group is P4/mmm. Its crystal system is tetragonal.

# 6
The following is a PBE-GGA calculation of a geometry-optimized HoThGaSe structure, from the Alexandria database.

Cell lengths 4.1975, 4.1975, 7.3052 Å; angles 73.30, 73.30, 60.00 degrees
Positions (direct):
Ho1 0.5018 0.5018 0.4947
Th1 0.9975 0.9975 0.0074
Ga1 0.2471 0.2471 0.2587
Se1 0.7536 0.7536 0.7392

Summary:
Its space group is R3m. Its crystal system is trigonal. Its energy relative to the elements, uncorrected is -1.031 eV per atom.

# 7
The following is a PBE-GGA calculation of a geometry-optimized BeReSb2Te structure, from the Alexandria database.

Cell lengths 4.7108, 4.7108, 4.9715 Å; angles 90.00, 90.00, 90.00 degrees
Each line ends with the local moment (μB).
Positions (direct):
Re1 0.5000 0.5000 0.5000  2.00
Te1 0.0000 0.0000 0.5000  -0.04
Be1 0.0000 0.0000 0.0000  0.01
Sb1 0.0000 0.5000 0.0000  -0.05
Sb2 0.5000 0.0000 0.0000  -0.05

Summary:
Its space group is P4/mmm. Its crystal system is tetragonal. Its energy relative to the elements, uncorrected is 1.262 eV per atom.

# 8
The following is a PBE-GGA calculation of a geometry-optimized BaRe4As structure, from the Alexandria database.

Cell lengths 5.4756, 5.4756, 5.4756 Å; angles 60.00, 60.00, 60.00 degrees
Positions (direct):
Ba1 0.0000 0.0000 0.0000
Re1 0.8692 0.3769 0.3769
Re2 0.3769 0.3769 0.8692
Re3 0.3769 0.8692 0.3769
Re4 0.3769 0.3769 0.3769
As1 0.7500 0.7500 0.7500

Summary:
The value obtained for the energy relative to the elements is 94.5 kJ per mole of atoms. Its space group is F-43m. Its crystal system is cubic.

# 9
The following is a PBE-GGA calculation of a geometry-optimized TcHg4Br structure, from the Alexandria database.

Cell lengths 6.0646, 6.0646, 6.0646 Å; angles 60.00, 60.00, 60.00 degrees
Each line ends with the local moment (μB).
Positions (direct):
Tc1 0.7500 0.7500 0.7500  3.62
Hg1 0.8745 0.3752 0.3752  0.03
Hg2 0.3752 0.3752 0.8745  0.03
Hg3 0.3752 0.8745 0.3752  0.03
Hg4 0.3752 0.3752 0.3752  0.03
Br1 0.0000 0.0000 0.0000  0.13

Summary:
Its space group is F-43m. Its crystal system is cubic. Its energy relative to the elements, uncorrected is 0.698 eV per atom.

# 10
The following is a PBE-GGA calculation of a geometry-optimized BaGeSbRh3 structure, from the Alexandria database.

Cell lengths 6.0318, 6.0434, 8.2605 Å; angles 111.46, 90.00, 90.00 degrees
Positions (direct):
Ba1 0.7500 0.2472 0.4944
Ba2 0.2500 0.7528 0.5056
Ge1 0.2500 0.0852 0.1704
Ge2 0.7500 0.9148 0.8296
Sb1 0.2500 0.4078 0.8156
Sb2 0.7500 0.5922 0.1844
Rh1 0.2500 0.2417 0.4835
Rh2 0.0000 0.2411 0.0000
Rh3 0.5000 0.7589 0.0000
Rh4 0.5000 0.2411 0.0000
Rh5 0.0000 0.7589 0.0000
Rh6 0.7500 0.7583 0.5165

Summary:
Its space group is Cmcm. Its crystal system is orthorhombic. Its energy relative to the elements, uncorrected is -0.497 eV per atom.

# 11
The following is a PBE-GGA calculation of a geometry-optimized Li2PmSe2 structure, from the Alexandria database.

Cell lengths 4.1125, 4.1125, 8.2172 Å; angles 75.51, 75.51, 60.00 degrees
Positions (direct):
Li1 0.2231 0.2231 0.3308
Li2 0.7769 0.7769 0.6692
Pm1 0.0000 0.0000 0.0000
Se1 0.5879 0.5879 0.2364
Se2 0.4121 0.4121 0.7636

Summary:
Its space group is R-3m. Its crystal system is trigonal. Its energy relative to the elements, uncorrected is -1.352 eV per atom.

# 12
The following is a PBE-GGA calculation of a geometry-optimized TbYSc structure, from the Alexandria database.

Cell lengths 3.4882, 3.4882, 7.6756 Å; angles 103.13, 103.13, 90.00 degrees
Positions (direct):
Y1 0.0051 0.0051 0.0102
Sc1 0.6674 0.6674 0.3348
Tb1 0.3275 0.3275 0.6550

Summary:
The value obtained for the energy relative to the elements is 4.7 kJ per mole of atoms. Its space group is I4mm. Its crystal system is tetragonal.

# 13
The following is a PBE-GGA calculation of a geometry-optimized MgZrV3 structure, from the Alexandria database.

Cell lengths 4.6171, 4.6171, 4.6171 Å; angles 90.00, 90.00, 90.00 degrees
Each line ends with the local moment (μB).
Positions (direct):
Mg1 0.0000 0.0000 0.0000  0.06
Zr1 0.5000 0.5000 0.5000  0.12
V1 0.0000 0.5000 0.0000  1.61
V2 0.0000 0.0000 0.5000  1.61
V3 0.5000 0.0000 0.0000  1.61

Summary:
The value obtained for the energy relative to the elements is 145.8 kJ per mole of atoms. Its space group is Pm-3m. Its crystal system is cubic.

# 14
The following is a PBE-GGA calculation of a geometry-optimized Nb2PdSe structure, from the Alexandria database.

Cell lengths 7.1535, 7.1535, 5.8023 Å; angles 51.94, 51.94, 90.00 degrees
Positions (direct):
Nb1 0.6080 0.1250 0.2500
Nb2 0.1420 0.6250 0.2500
Nb3 0.3750 0.3920 0.7500
Nb4 0.8750 0.8580 0.7500
Se1 0.5000 0.5000 0.0000
Se2 0.2500 0.7500 0.5000
Pd1 0.0000 0.0000 0.0000
Pd2 0.7500 0.2500 0.5000

Summary:
Its space group is I-42d. Its crystal system is tetragonal. Its energy relative to the elements, uncorrected is -0.009 eV per atom.

# 15
The following is a PBE-GGA calculation of a geometry-optimized TcAsPt structure, from the Alexandria database.

Cell lengths 2.9398, 2.9412, 12.5918 Å; angles 90.00, 90.00, 119.98 degrees
Positions (direct):
Tc1 0.4457 0.8914 0.0000
Tc2 0.4429 0.8858 0.5000
Pt1 0.7763 0.5527 0.3338
Pt2 0.7763 0.5527 0.6662
As1 0.1126 0.2253 0.8488
As2 0.1126 0.2253 0.1512

Summary:
The value obtained for the energy relative to the elements is 0.2 kJ per mole of atoms. Its space group is Amm2. Its crystal system is orthorhombic.

# 16
The following is a PBE-GGA calculation of a geometry-optimized Y2Cr2Hg structure, from the Alexandria database.

Cell lengths 6.9843, 6.9843, 4.3665 Å; angles 90.00, 90.00, 90.00 degrees
Positions (direct):
Y1 0.1858 0.6858 0.5000
Y2 0.6858 0.8142 0.5000
Y3 0.8142 0.3142 0.5000
Y4 0.3142 0.1858 0.5000
Cr1 0.4044 0.9044 0.0000
Cr2 0.9044 0.5956 0.0000
Cr3 0.5956 0.0956 0.0000
Cr4 0.0956 0.4044 0.0000
Hg1 0.0000 0.0000 0.0000
Hg2 0.5000 0.5000 0.0000

Summary:
The value obtained for the energy relative to the elements is 13.7 kJ per mole of atoms. Its space group is P4/mbm. Its crystal system is tetragonal.

# 17
The following is a PBE-GGA calculation of a geometry-optimized Li2TiNb2Se6 structure, from the Alexandria database.

Cell lengths 6.2521, 6.2521, 6.9687 Å; angles 97.44, 97.44, 120.10 degrees
Positions (direct):
Li1 0.8177 0.1823 0.0000
Li2 0.1823 0.8177 0.0000
Ti1 0.0000 0.0000 0.5000
Nb1 0.3647 0.6353 0.5000
Nb2 0.6353 0.3647 0.5000
Se1 0.7606 0.7606 0.7622
Se2 0.0604 0.3993 0.7257
Se3 0.2394 0.2394 0.2378
Se4 0.3993 0.0604 0.7257
Se5 0.9396 0.6007 0.2743
Se6 0.6007 0.9396 0.2743

Summary:
Its space group is C2/m. Its crystal system is monoclinic. Its energy relative to the elements, uncorrected is -1.016 eV per atom.

# 18
The following is a PBE-GGA calculation of a geometry-optimized Nd8RuRh3Br4 structure, from the Alexandria database.

Cell lengths 8.2109, 9.1915, 8.2100 Å; angles 116.54, 120.00, 90.00 degrees
Positions (direct):
Nd1 0.2301 0.6972 0.9673
Nd2 0.2303 0.6974 0.4605
Nd3 0.2684 0.3055 0.5368
Nd4 0.7372 0.6972 0.9673
Nd5 0.2628 0.3028 0.0327
Nd6 0.7316 0.6945 0.4632
Nd7 0.7697 0.3026 0.5395
Nd8 0.7699 0.3028 0.0327
Ru1 0.0000 0.5000 0.0000
Rh1 0.5000 0.5000 0.0000
Rh2 0.5000 0.5000 0.5000
Rh3 0.0000 0.5000 0.5000
Br1 0.5000 0.0000 0.0000
Br2 0.5000 0.0000 0.5000
Br3 0.0000 0.0000 0.0000
Br4 0.0000 0.0000 0.5000

Summary:
Its space group is R-3m. Its crystal system is trigonal. Its energy relative to the elements, uncorrected is -1.005 eV per atom.

# 19
The following is a PBE-GGA calculation of a geometry-optimized TaTl2TcPb structure, from the Alexandria database.

Cell lengths 5.5109, 5.0738, 5.5109 Å; angles 90.00, 90.00, 90.00 degrees
Positions (direct):
Pb1 0.0000 0.0000 0.0000
Tl1 0.0000 0.0000 0.5000
Tl2 0.5000 0.0000 0.0000
Tc1 0.0000 0.5000 0.0000
Ta1 0.5000 0.5000 0.5000

Summary:
The value obtained for the energy relative to the elements is 217.3 kJ per mole of atoms. Its space group is P4/mmm. Its crystal system is tetragonal.

# 20
The following is a PBE-GGA calculation of a geometry-optimized BaLa2PbO structure, from the Alexandria database.

Cell lengths 5.1111, 5.1111, 5.4745 Å; angles 90.00, 90.00, 90.00 degrees
Positions (direct):
Pb1 0.5000 0.5000 0.5000
Ba1 0.0000 0.0000 0.5000
O1 0.0000 0.0000 0.0000
La1 0.0000 0.5000 0.0000
La2 0.5000 0.0000 0.0000

Summary:
Its space group is P4/mmm. Its crystal system is tetragonal. Its energy relative to the elements, uncorrected is -1.348 eV per atom.

# 21
The following is a PBE-GGA calculation of a geometry-optimized ErVOs structure, from the Alexandria database.

Cell lengths 5.3004, 5.2839, 5.2839 Å; angles 63.10, 59.90, 59.90 degrees
Positions (direct):
Er1 0.8707 0.3793 0.3793
Er2 0.1293 0.6207 0.6207
V1 0.0000 0.0000 0.0000
V2 0.5000 0.0000 0.0000
Os1 0.5000 0.5000 0.0000
Os2 0.5000 0.0000 0.5000

Summary:
The value obtained for the energy relative to the elements is -25.8 kJ per mole of atoms. Its space group is Imma. Its crystal system is orthorhombic.

# 22
The following is a PBE-GGA calculation of a geometry-optimized PmErAgPb structure, from the Alexandria database.

Cell lengths 5.3281, 5.3281, 5.3281 Å; angles 60.00, 60.00, 60.00 degrees
Each line ends with the local moment (μB).
Positions (direct):
Pb1 0.2500 0.2500 0.2500  -0.02
Pm1 0.0000 0.0000 0.0000  0.19
Ag1 0.7500 0.7500 0.7500  0.02
Er1 0.5000 0.5000 0.5000  0.24

Summary:
The value obtained for the energy relative to the elements is -37.8 kJ per mole of atoms. Its space group is F-43m. Its crystal system is cubic.

# 23
The following is a PBE-GGA calculation of a geometry-optimized Dy8TmSc3 structure, from the Alexandria database.

Cell lengths 5.8404, 9.2231, 8.5485 Å; angles 124.59, 104.01, 92.74 degrees
Positions (direct):
Dy1 0.4741 0.8410 0.0694
Dy2 0.1660 0.8622 0.4015
Dy3 0.8558 0.6017 0.8917
Dy4 0.1930 0.1520 0.2750
Dy5 0.9416 0.8728 0.7503
Dy6 0.0524 0.3837 0.0834
Dy7 0.5028 0.1334 0.9363
Dy8 0.7251 0.1296 0.5743
Tm1 0.3728 0.6138 0.5760
Sc1 0.2945 0.3784 0.7624
Sc2 0.8049 0.3945 0.4290
Sc3 0.6153 0.6065 0.2472

Summary:
The value obtained for the energy relative to the elements is 8.0 kJ per mole of atoms. Its space group is P1. Its crystal system is triclinic.

# 24
The following is a PBE-GGA calculation of a geometry-optimized Ag3PtO6 structure, from the Alexandria database.

Cell lengths 5.4996, 5.4996, 5.9262 Å; angles 62.35, 62.35, 60.00 degrees
Positions (direct):
Ag1 0.3635 0.3635 0.9094
Ag2 0.6402 0.6402 0.0794
Ag3 0.1585 0.1585 0.5244
Pt1 0.8409 0.8409 0.4773
O1 0.9392 0.5824 0.2727
O2 0.2057 0.9392 0.2727
O3 0.5824 0.2057 0.2727
O4 0.0325 0.4602 0.7304
O5 0.7768 0.0325 0.7304
O6 0.4602 0.7768 0.7304

Summary:
Its space group is R3. Its crystal system is trigonal. Its energy relative to the elements, uncorrected is -0.065 eV per atom.

# 25
The following is a PBE-GGA calculation of a geometry-optimized Zr2MoPt structure, from the Alexandria database.

Cell lengths 8.5330, 8.5330, 8.5330 Å; angles 22.30, 22.30, 22.30 degrees
Positions (direct):
Mo1 0.2500 0.2500 0.2500
Pt1 0.7500 0.7500 0.7500
Zr1 0.9992 0.9992 0.9992
Zr2 0.5008 0.5008 0.5008

Summary:
The value obtained for the energy relative to the elements is -18.3 kJ per mole of atoms. Its space group is R-3m. Its crystal system is trigonal.

# 26
The following is a PBE-GGA calculation of a geometry-optimized ZrMoRu structure, from the Alexandria database.

Cell lengths 5.4029, 5.4029, 5.4029 Å; angles 145.09, 145.08, 50.21 degrees
Positions (direct):
Mo1 0.9921 0.9921 0.0000
Ru1 0.3393 0.3393 0.0000
Zr1 0.6686 0.6686 0.0000

Summary:
The value obtained for the energy relative to the elements is -8.9 kJ per mole of atoms. Its space group is I4mm. Its crystal system is tetragonal.